A plane-wave DFT calculation with SCAN was carried out for a crystal of YTc2Ni relaxed with PBEsol.

a b c (Å): 6.271 6.271 6.271
angles (deg): 90.00 90.00 90.00
Space group F-43m (No. 216)
One atom of each set of equivalent atoms:
1 Y 0.000 0.000 0.000
2 Tc 0.000 0.000 0.500
3 Tc 0.250 0.250 0.750
4 Ni 0.250 0.250 0.250

Computed properties:
Theoretical density   9.26 g/cm³
Magnetic moment   0.009 μB per cell
E above lowest polymorph   0 meV/atom
N(E_F)   1.320 states/eV/atom
DFT formation energy   0.14 eV per atom